# 1
Material: Al2ZnRh2
Method: DFT, PBE
State: relaxed

energy	-5.392	eV/atom
total moment	0.0	μB per cell

abc: 7.1070 7.1070 2.8786
angles: 90.00 90.00 90.00
Last column: nearest neighbours and their distance in Å.
Fractional positions:
Zn 0.0000 0.0000 0.0000  4 Al 2.76, 2 Zn 2.88, 8 Rh 3.03
Zn 0.5000 0.5000 0.0000  4 Al 2.76, 2 Zn 2.88, 8 Rh 3.03
Rh 0.1607 0.6607 0.5000  6 Al 2.50-2.56
Rh 0.6607 0.8393 0.5000  6 Al 2.50-2.56
Rh 0.8393 0.3393 0.5000  6 Al 2.50-2.56
Rh 0.3393 0.1607 0.5000  6 Al 2.50-2.56
Al 0.3639 0.8639 0.0000  6 Rh 2.50-2.56, 1 Al 2.74, 2 Zn 2.76
Al 0.8639 0.6361 0.0000  6 Rh 2.50-2.56, 1 Al 2.74, 2 Zn 2.76
Al 0.6361 0.1361 0.0000  6 Rh 2.50-2.56, 1 Al 2.74, 2 Zn 2.76
Al 0.1361 0.3639 0.0000  6 Rh 2.50-2.56, 1 Al 2.74, 2 Zn 2.76

***

# 2
Material: KUGeS5
Method: DFT, PBE
State: relaxed

energy	-5.607	eV/atom
total moment	2.0	μB per cell

abc: 7.2456 7.2456 9.6466
angles: 104.78 104.78 105.31
Last column: nearest neighbours and their distance in Å.
Fractional positions:
K 0.3451 0.6549 0.2500  5 S 3.12-3.21
K 0.6549 0.3451 0.7500  5 S 3.12-3.21
U 0.0000 0.0000 0.5000  6 S 2.56-2.66
U 0.0000 0.0000 0.0000  6 S 2.56-2.66
Ge 0.6911 0.3089 0.2500  4 S 2.24-2.27
Ge 0.3089 0.6911 0.7500  4 S 2.24-2.27
S 0.0745 0.9255 0.2500  2 U 2.56
S 0.9255 0.0745 0.7500  2 U 2.56
S 0.9021 0.3205 0.1156  1 Ge 2.24
S 0.0979 0.6795 0.8844  1 Ge 2.24
S 0.6795 0.0979 0.3844  1 Ge 2.24
S 0.3205 0.9021 0.6156  1 Ge 2.24
S 0.7658 0.6174 0.4268  1 Ge 2.27
S 0.2342 0.3826 0.5732  1 Ge 2.27
S 0.3826 0.2342 0.0732  1 Ge 2.27
S 0.6174 0.7658 0.9268  1 Ge 2.27

***

# 3
Material: CdPSe
Method: DFT, PBE
State: relaxed

energy	-3.160	eV/atom
total moment	0.0	μB per cell

abc: 6.2593 6.2593 6.2593
angles: 144.87 144.87 50.52
Last column: nearest neighbours and their distance in Å.
Fractional positions:
Cd 0.0875 0.0875 0.0000  4 P 2.70
P 0.5527 0.5527 0.0000  1 Se 2.18
Se 0.3598 0.3598 0.0000  1 P 2.18

***

# 4
Material: LaZr2Bi2
Method: DFT, PBE
State: relaxed

energy	-6.325	eV/atom
total moment	0.0	μB per cell

abc: 8.4516 8.4516 3.8368
angles: 90.00 90.00 90.00
Last column: nearest neighbours and their distance in Å.
Fractional positions:
Bi 0.3572 0.8572 0.0000  6 Zr 3.12-3.15, 2 La 3.25, 1 Bi 3.41
Bi 0.8572 0.6428 0.0000  6 Zr 3.12-3.15, 2 La 3.25, 1 Bi 3.41
Bi 0.6428 0.1428 0.0000  6 Zr 3.12-3.15, 2 La 3.25, 1 Bi 3.41
Bi 0.1428 0.3572 0.0000  6 Zr 3.12-3.15, 2 La 3.25, 1 Bi 3.41
Zr 0.1477 0.6477 0.5000  6 Bi 3.12-3.15
Zr 0.6477 0.8523 0.5000  6 Bi 3.12-3.15
Zr 0.8523 0.3523 0.5000  6 Bi 3.12-3.15
Zr 0.3523 0.1477 0.5000  6 Bi 3.12-3.15
La 0.0000 0.0000 0.0000  4 Bi 3.25
La 0.5000 0.5000 0.0000  4 Bi 3.25

***

# 5
Material: NaLiP2Cl
Method: DFT, PBE
State: relaxed

energy	-2.621	eV/atom
total moment	2.3	μB per cell

abc: 5.0713 5.0713 5.3447
angles: 90.00 90.00 90.00
Last column: nearest neighbours and their distance in Å.
Fractional positions:
P 0.0000 0.5000 0.0000  2 Na 2.54
P 0.5000 0.0000 0.0000  2 Na 2.54
Li 0.5000 0.5000 0.5000  4 Cl 3.59, 8 P 3.68
Na 0.0000 0.0000 0.0000  4 P 2.54, 2 Cl 2.67
Cl 0.0000 0.0000 0.5000  2 Na 2.67

***

# 6
Material: ScNi2Mo
Method: DFT, PBE
State: relaxed

energy	-7.262	eV/atom
total moment	0.0	μB per cell

abc: 4.5327 4.5322 2.8015
angles: 90.00 90.00 90.00
Last column: nearest neighbours and their distance in Å.
Fractional positions:
Mo 0.0000 0.5000 0.5000  8 Ni 2.66, 2 Mo 2.80
Ni 0.0000 0.0000 0.0000  4 Mo 2.66, 4 Sc 2.66, 2 Ni 2.80
Ni 0.5000 0.5000 0.0000  4 Sc 2.66, 4 Mo 2.66, 2 Ni 2.80
Sc 0.5000 0.0000 0.5000  8 Ni 2.66, 2 Sc 2.80